[1]
{
  "formula": "Ga2TeAs2",
  "functional": "meta-GGA SCAN",
  "state": "PBEsol geometry",
  "lattice_angstrom": [[4.619, 0.000, 0.000], [0.000, 4.619, 0.000], [0.000, 0.000, 9.740]],
  "species": ["Ga", "Ga", "Ga", "Ga", "Te", "Te", "As", "As", "As", "As"],
  "fractional_positions": [[0.000, 0.000, 0.124], [0.000, 0.000, 0.876], [0.500, 0.500, 0.376], [0.500, 0.500, 0.624], [0.000, 0.000, 0.500], [0.500, 0.500, 0.000], [0.000, 0.500, 0.250], [0.000, 0.500, 0.750], [0.500, 0.000, 0.250], [0.500, 0.000, 0.750]],
  "volume_a3_per_cell": 207.8,
  "e_form_raw_ev_per_atom": 0.24,
  "spacegroup": "No. 139"
}

---

[2]
{
  "formula": "K3Ba2Pr2Bi3O15",
  "functional": "meta-GGA SCAN",
  "state": "PBEsol geometry",
  "lattice_angstrom": [[3.090, 1.784, 25.337], [-3.090, 1.784, 25.337], [0.000, -3.568, 25.337]],
  "species": ["K", "K", "K", "K", "K", "K", "Ba", "Ba", "Ba", "Ba", "Pr", "Pr", "Pr", "Pr", "Bi", "Bi", "Bi", "Bi", "Bi", "Bi", "O", "O", "O", "O", "O", "O", "O", "O", "O", "O", "O", "O", "O", "O", "O", "O", "O", "O", "O", "O", "O", "O", "O", "O", "O", "O", "O", "O", "O", "O"],
  "fractional_positions": [[0.048, 0.048, 0.048], [0.349, 0.349, 0.349], [0.448, 0.448, 0.448], [0.552, 0.552, 0.552], [0.651, 0.651, 0.651], [0.952, 0.952, 0.952], [0.151, 0.151, 0.151], [0.252, 0.252, 0.252], [0.748, 0.748, 0.748], [0.849, 0.849, 0.849], [0.201, 0.201, 0.201], [0.398, 0.398, 0.398], [0.602, 0.602, 0.602], [0.799, 0.799, 0.799], [0.000, 0.000, 0.000], [0.099, 0.099, 0.099], [0.302, 0.302, 0.302], [0.500, 0.500, 0.500], [0.698, 0.698, 0.698], [0.901, 0.901, 0.901], [0.023, 0.561, 0.561], [0.045, 0.045, 0.566], [0.045, 0.566, 0.045], [0.150, 0.150, 0.652], [0.150, 0.652, 0.150], [0.155, 0.650, 0.650], [0.238, 0.757, 0.757], [0.243, 0.243, 0.762], [0.243, 0.762, 0.243], [0.348, 0.850, 0.850], [0.350, 0.350, 0.845], [0.350, 0.845, 0.350], [0.434, 0.955, 0.955], [0.439, 0.439, 0.977], [0.439, 0.977, 0.439], [0.561, 0.023, 0.561], [0.561, 0.561, 0.023], [0.566, 0.045, 0.045], [0.650, 0.155, 0.650], [0.650, 0.650, 0.155], [0.652, 0.150, 0.150], [0.757, 0.238, 0.757], [0.757, 0.757, 0.238], [0.762, 0.243, 0.243], [0.845, 0.350, 0.350], [0.850, 0.348, 0.850], [0.850, 0.850, 0.348], [0.955, 0.434, 0.955], [0.955, 0.955, 0.434], [0.977, 0.439, 0.439]],
  "volume_a3_per_cell": 837.9,
  "e_form_raw_ev_per_atom": -1.86,
  "spacegroup": "No. 166"
}

---

[3]
{
  "formula": "Ge3Sb4O12",
  "functional": "meta-GGA SCAN",
  "state": "PBEsol geometry",
  "lattice_angstrom": [[-5.217, 5.217, 5.217], [5.217, -5.217, 5.217], [5.217, 5.217, -5.217]],
  "species": ["Ge", "Ge", "Ge", "Ge", "Ge", "Ge", "Sb", "Sb", "Sb", "Sb", "Sb", "Sb", "Sb", "Sb", "O", "O", "O", "O", "O", "O", "O", "O", "O", "O", "O", "O", "O", "O", "O", "O", "O", "O", "O", "O", "O", "O", "O", "O"],
  "fractional_positions": [[0.125, 0.875, 0.250], [0.250, 0.125, 0.875], [0.375, 0.625, 0.750], [0.625, 0.750, 0.375], [0.750, 0.375, 0.625], [0.875, 0.250, 0.125], [0.000, 0.187, 0.500], [0.000, 0.687, 0.500], [0.187, 0.500, 0.000], [0.313, 0.313, 0.313], [0.500, 0.000, 0.187], [0.500, 0.000, 0.687], [0.687, 0.500, 0.000], [0.813, 0.813, 0.813], [0.055, 0.912, 0.713], [0.088, 0.301, 0.143], [0.143, 0.088, 0.301], [0.158, 0.857, 0.445], [0.199, 0.287, 0.842], [0.213, 0.412, 0.555], [0.287, 0.842, 0.199], [0.301, 0.143, 0.088], [0.342, 0.787, 0.699], [0.357, 0.658, 0.945], [0.412, 0.555, 0.213], [0.445, 0.158, 0.857], [0.555, 0.213, 0.412], [0.588, 0.643, 0.801], [0.643, 0.801, 0.588], [0.658, 0.945, 0.357], [0.699, 0.342, 0.787], [0.713, 0.055, 0.912], [0.787, 0.699, 0.342], [0.801, 0.588, 0.643], [0.842, 0.199, 0.287], [0.857, 0.445, 0.158], [0.912, 0.713, 0.055], [0.945, 0.357, 0.658]],
  "volume_a3_per_cell": 567.9,
  "e_form_raw_ev_per_atom": -1.58,
  "spacegroup": "No. 220"
}

---

[4]
{
  "formula": "Tl2CuAs",
  "functional": "meta-GGA SCAN",
  "state": "PBEsol geometry",
  "lattice_angstrom": [[4.105, 0.000, 0.000], [-2.053, 3.555, 0.000], [0.000, 0.000, 19.963]],
  "species": ["Tl", "Tl", "Tl", "Tl", "Tl", "Tl", "Cu", "Cu", "Cu", "As", "As", "As"],
  "fractional_positions": [[0.000, 0.000, 0.000], [0.000, 0.000, 0.205], [0.333, 0.667, 0.667], [0.333, 0.667, 0.871], [0.667, 0.333, 0.333], [0.667, 0.333, 0.538], [0.000, 0.000, 0.439], [0.333, 0.667, 0.105], [0.667, 0.333, 0.772], [0.000, 0.000, 0.768], [0.333, 0.667, 0.435], [0.667, 0.333, 0.101]],
  "volume_a3_per_cell": 291.4,
  "ef_mev_per_atom": -26.4,
  "spacegroup": "No. 160"
}